Density functional theory data (PBE-GGA) for crystalline TlZn2Co at its relaxed geometry.

```
data_TlZn2Co
_symmetry_space_group_name_H-M 'P 1'
_symmetry_Int_Tables_number 1
_symmetry_space_group_name_Hall 'P 1'
_cell_length_a 3.053
_cell_length_b 2.965
_cell_length_c 7.706
_cell_angle_alpha 90.00
_cell_angle_beta 90.62
_cell_angle_gamma 90.00
loop_
_atom_site_label
_atom_site_fract_x
_atom_site_fract_y
_atom_site_fract_z
_atom_site_occupancy
Tl1 0.000 0.000 0.000 1
Zn1 0.495 0.500 0.328 1
Zn2 0.505 0.500 0.672 1
Co1 0.000 0.000 0.500 1
```

Summary:
The value obtained for the total energy is -11.32 eV per cell. The crystal system is monoclinic.